a:
Material: ZrNiBPt
Method: DFT, PBE
State: relaxed

```
ZrNiBPt
1.0
0.000 2.991 2.991
2.991 0.000 2.991
2.991 2.991 0.000
Zr Ni B Pt
1 1 1 1
Direct
0.000 0.000 0.000
0.250 0.250 0.250
0.750 0.750 0.750
0.500 0.500 0.500
```

Results
Calculated volume in Å³/f.u.: 53.52
Total magnetization in μB/atom: 0.002


b:
Material: ZrNiBPt
Method: DFT, PBE
State: relaxed

```
ZrNiBPt
1.0
0.000 3.046 3.046
3.046 0.000 3.046
3.046 3.046 0.000
Zr Ni B Pt
1 1 1 1
Direct
0.000 0.000 0.000
0.750 0.750 0.750
0.500 0.500 0.500
0.250 0.250 0.250
```

Results
Calculated volume in Å³/f.u.: 56.51
Total magnetization in μB/atom: 0.000


The relative energies come out as a 0.0; b 22.7, with values in kJ/mol of atoms.